## Ba2TaAg (PBE)

Data for a geometry-optimized Ba2TaAg structure.

Properties
magnetization: 0.0703 μB per atom
SG: Cmmm, No. 65
calculated formation energy: 0.77 eV per atom
volume: 126.5 Å³ per cell
excess energy over the best structure of this formula in the dataset: 147.6 meV/atom
E: -0.28431 Ry per atom

Unit cell a=6.044 b=6.044 c=3.463 alpha=90.00 beta=90.00 gamma=90.11
Atoms (fractional coordinates):
Ba 0.000 0.500 0.000
Ba 0.500 0.000 0.000
Ta 0.000 0.000 0.500
Ag 0.500 0.500 0.500